Pm4SmHo2Tm: optimized geometry, PBE.

The calculation puts the total energy at -4.651 eV/atom. Its formation energy is 0.0172 eV per atom.

CIF file:
```
data_Pm4SmHo2Tm
_chemical_formula_sum 'Pm4 Sm1 Ho2 Tm1'
_cell_length_a 6.2277
_cell_length_b 3.6041
_cell_length_c 11.8662
_cell_angle_alpha 90.00
_cell_angle_beta 100.15
_cell_angle_gamma 90.00
_space_group_name_H-M_alt 'P 1 2/m 1'
_space_group_IT_number 10
loop_
_space_group_symop_operation_xyz
'x,y,z'
'-x,-y,-z'
'-x,y,-z'
'x,-y,z'
loop_
_atom_site_label
_atom_site_fract_x
_atom_site_fract_y
_atom_site_fract_z
_atom_site_occupancy
Pm1 0.2491 0.0000 0.2478 1
Pm2 0.2505 0.5000 0.7518 1
Sm1 0.5000 0.5000 0.5000 1
Ho1 0.0000 0.0000 0.5000 1
Ho2 0.0000 0.5000 0.0000 1
Tm1 0.5000 0.0000 0.0000 1
```


PmSm2Ho4Tm: optimized geometry, PBE.

The calculation puts the total energy at -4.193 eV/atom. Its formation energy is 0.4288 eV per atom.

CIF file:
```
data_PmSm2Ho4Tm
_chemical_formula_sum 'Pm4 Sm8 Ho16 Tm4'
_cell_length_a 13.5944
_cell_length_b 13.2484
_cell_length_c 6.7935
_cell_angle_alpha 90.00
_cell_angle_beta 119.97
_cell_angle_gamma 90.00
_space_group_name_H-M_alt 'C 1 2/c 1'
_space_group_IT_number 15
loop_
_space_group_symop_operation_xyz
'x,y,z'
'-x,-y,-z'
'-x,y,-z+1/2'
'x,-y,z+1/2'
'x+1/2,y+1/2,z'
'-x+1/2,-y+1/2,-z'
'-x+1/2,y+1/2,-z+1/2'
'x+1/2,-y+1/2,z+1/2'
loop_
_atom_site_label
_atom_site_fract_x
_atom_site_fract_y
_atom_site_fract_z
_atom_site_occupancy
Pm1 0.2500 0.2500 0.0000 1
Sm1 0.0000 0.0000 0.0000 1
Sm2 0.2500 0.2500 0.5000 1
Ho1 0.0000 0.2542 0.0000 1
Ho2 0.2461 0.4999 0.4947 1
Tm1 0.0000 0.5000 0.0000 1
```